# VIn2F6

A geometry-optimized VIn2F6 structure (GGA+U, the Alexandria database).

a = 8.6373 Å, b = 8.6373 Å, c = 8.6373 Å
α = 90.00°, β = 90.00°, γ = 90.00°
Space group Fm-3m (No. 225)
One atom of each set of equivalent atoms:
V 0.0000 0.0000 0.0000
In 0.2500 0.2500 0.2500
F 0.0000 0.0000 0.2186

Results
Total energy ... -0.17960 Ha/atom
Size of the total moment ... 1.0 μB/f.u.